[1]
Material: SmGd2Mg3CdIn2
Method: DFT, GGA-PBE
State: relaxed

```
9
Lattice="4.679 0.000 0.000 0.000 6.600 3.784 0.000 -6.600 3.784" Properties=species:S:1:pos:R:3 pbc="T T T"
Cd 0.000 0.000 7.541
Gd 0.000 3.798 2.185
Gd 0.000 -3.798 2.185
Mg 2.340 1.582 0.908
Mg 2.340 -1.582 0.908
Mg 2.340 0.000 5.745
In 2.340 -2.216 3.792
In 2.340 2.216 3.792
Sm 0.000 0.000 3.215
```



[2]
Material: SmCoB
Method: DFT, GGA-PBE
State: relaxed

```
3
Lattice="0.000 3.044 3.044 3.044 0.000 3.044 3.044 3.044 0.000" Properties=species:S:1:pos:R:3 pbc="T T T"
B 1.522 1.522 1.522
Sm 0.000 0.000 0.000
Co 4.566 4.566 4.566
```



[3]
Material: GaReB4
Method: DFT, GGA-PBE
State: relaxed

```
6
Lattice="-1.489 2.651 3.400 1.489 -2.651 3.400 1.489 2.651 -3.400" Properties=species:S:1:pos:R:3 pbc="T T T"
Ga 0.000 0.000 0.000
B 1.489 -0.859 1.662
B 0.000 3.511 1.739
B 0.000 1.792 1.739
B 1.489 0.859 1.662
Re 0.000 0.000 3.400
```



[4]
Material: LuH2
Method: DFT, GGA-PBE
State: relaxed

```
6
Lattice="3.127 1.806 5.107 -3.127 1.806 5.107 0.000 -3.611 5.107" Properties=species:S:1:pos:R:3 pbc="T T T"
H -1.564 0.903 8.298
H 0.000 0.000 5.745
H 1.564 0.903 8.298
H 0.000 -1.806 8.298
Lu 0.000 0.000 3.830
Lu 0.000 0.000 7.660
```



[5]
Material: YZrNO
Method: DFT, GGA-PBE
State: relaxed

```
16
Lattice="-1.812 -3.117 -3.021 -0.545 -4.410 4.876 -7.184 2.640 1.585" Properties=species:S:1:pos:R:3 pbc="T T T"
N -1.086 -1.740 2.073
N -1.804 -1.780 -1.117
N -7.734 -1.906 2.570
N -7.016 -1.866 5.759
Zr -1.047 -0.242 0.506
Zr -6.696 -0.471 4.130
Zr -2.123 -3.174 0.514
Zr -7.772 -3.402 4.138
Y -4.603 1.236 1.116
Y -4.215 -4.879 3.530
Y -3.099 -1.621 3.162
Y -5.719 -2.022 1.484
O -3.859 -3.417 1.810
O -4.958 -0.225 2.837
O -5.697 -0.436 -0.163
O -3.120 -3.205 4.810
```



[6]
Material: NaDyCdS3
Method: DFT, GGA-PBE
State: relaxed

```
24
Lattice="-5.670 -7.365 7.870 2.616 -2.908 -0.836 6.920 3.775 8.519" Properties=species:S:1:pos:R:3 pbc="T T T"
Dy -2.428 -6.474 10.132
Dy 6.294 -0.024 5.421
Dy -0.763 -3.430 4.756
Dy 4.629 -3.068 10.797
S 1.817 -4.128 5.685
S 6.090 1.971 7.417
S -0.793 -6.157 4.577
S 4.659 -0.341 10.975
S 4.448 -1.162 3.604
S -1.039 -4.770 8.550
S -0.582 -5.336 11.948
S -2.224 -8.468 8.135
S 3.504 -4.628 12.703
S 4.905 -1.728 7.003
S 0.362 -1.870 2.849
S 2.049 -2.370 9.867
Cd 4.574 0.272 8.582
Cd -0.708 -6.769 6.970
Cd 2.615 -2.820 3.637
Cd 1.251 -3.678 11.915
Na 2.544 -3.440 15.134
Na 1.322 -3.058 0.418
Na 1.827 -4.918 8.465
Na 2.039 -1.580 7.087
```



[7]
Material: Si2Os
Method: DFT, GGA-PBE
State: relaxed

```
6
Lattice="2.162 -1.827 6.726 4.197 4.564 3.849 -2.754 3.484 5.791" Properties=species:S:1:pos:R:3 pbc="T T T"
Os 0.901 1.555 4.092
Os 1.802 3.111 8.183
Si -0.025 4.075 9.033
Si 1.352 2.333 6.137
Si 2.433 1.420 9.501
Si 3.450 4.615 8.062
```



[8]
Material: Hf2MoPb2
Method: DFT, GGA-PBE
State: relaxed

```
5
Lattice="-2.086 2.086 6.573 2.086 -2.086 6.573 2.086 2.086 -6.573" Properties=species:S:1:pos:R:3 pbc="T T T"
Hf 0.000 2.086 3.287
Hf 2.086 0.000 3.287
Pb 0.000 0.000 7.894
Pb 0.000 0.000 5.252
Mo 0.000 0.000 0.000
```



[9]
Material: LiThTl2
Method: DFT, GGA-PBE
State: relaxed

```
4
Lattice="-0.426 -2.904 -2.006 0.862 -2.045 2.777 -7.608 -0.341 2.111" Properties=species:S:1:pos:R:3 pbc="T T T"
Li 0.218 -2.474 0.386
Tl -6.019 -0.270 1.671
Tl -1.588 -0.071 0.441
Th -3.586 -2.645 1.441
```



[10]
Material: PmSmN2Cl2
Method: DFT, GGA-PBE
State: relaxed

```
6
Lattice="3.855 0.000 0.000 0.000 3.855 0.000 0.000 0.000 7.394" Properties=species:S:1:pos:R:3 pbc="T T T"
N 1.927 0.000 0.007
N 0.000 1.927 0.007
Cl 0.000 0.000 4.636
Cl 1.927 1.927 2.753
Pm 1.927 1.927 5.984
Sm 0.000 0.000 1.400
```



[11]
Material: CsTmHgS3
Method: DFT, GGA-PBE
State: relaxed

```
12
Lattice="-4.268 1.748 7.616 2.773 -2.240 2.068 7.326 7.185 -2.041" Properties=species:S:1:pos:R:3 pbc="T T T"
S -1.073 1.009 8.691
S 4.401 6.739 3.451
S 1.430 -0.046 4.192
S 2.742 3.029 1.657
S 6.904 5.684 -1.048
S 3.089 3.663 5.986
Cs 6.397 4.081 2.001
Cs -0.566 2.612 5.642
Tm 0.922 0.680 1.553
Tm 4.909 6.012 6.090
Hg 2.721 4.916 3.730
Hg 3.110 1.776 3.913
```



[12]
Material: InSb5Au3
Method: DFT, GGA-PBE
State: relaxed

```
9
Lattice="5.643 0.000 0.000 -2.821 4.887 0.000 0.000 0.000 8.725" Properties=species:S:1:pos:R:3 pbc="T T T"
Sb 0.000 3.258 7.187
Sb 0.000 3.258 1.538
Sb 2.821 1.629 1.538
Sb 2.821 1.629 7.187
Sb 0.000 0.000 4.363
Au 2.821 0.000 4.363
Au -1.411 2.443 4.363
Au 1.411 2.443 4.363
In 0.000 0.000 0.000
```



Total energy values (in eV for the cell shown) by entry order: -28.48, -14.80, -40.62, -21.35, -146.79, -108.62, -39.58, -33.44, -14.82, -37.81, -50.91, -31.56.